First-principles (PBE-GGA) data for a geometry-optimized UVIr structure, as listed in the Alexandria database.

Lattice parameters (Å, degrees): 3.630 3.630 4.758 112.42 112.42 90.00
Positions (direct):
1 V 0.637 0.637 0.274
2 U 0.350 0.350 0.700
3 Ir 0.013 0.013 0.025

space group	I4mm (107)
DFT total energy	-29.6	eV per formula unit
DFT formation energy	-0.12	eV/atom
excess energy over the best structure of this formula in the dataset	0	meV/atom
V	52.78	Å³/f.u.



First-principles (PBE-GGA) data for a geometry-optimized TlRuC3 structure, as listed in the Alexandria database.

Lattice parameters (Å, degrees): 4.086 4.086 4.086 90.00 90.00 90.00
Positions (direct):
1 Ru 0.000 0.000 0.000
2 C 0.000 0.500 0.000
3 C 0.000 0.000 0.500
4 Tl 0.500 0.500 0.500
5 C 0.500 0.000 0.000

space group	Pm-3m (221)
DFT total energy	-29.3	eV per formula unit
DFT formation energy	2.00	eV/atom
excess energy over the best structure of this formula in the dataset	0	meV/atom
V	68.21	Å³/f.u.



First-principles (PBE-GGA) data for a geometry-optimized ScNiH2 structure, as listed in the Alexandria database.

Lattice parameters (Å, degrees): 4.408 6.239 5.510 90.00 90.00 90.00
Positions (direct):
1 H 0.835 0.465 0.104
2 Sc 0.984 0.660 0.372
3 Sc 0.484 0.840 0.872
4 Ni 0.477 0.446 0.149
5 H 0.335 0.035 0.604
6 H 0.977 0.360 0.633
7 Ni 0.977 0.054 0.649
8 H 0.477 0.140 0.133
9 Sc 0.984 0.160 0.128
10 Ni 0.977 0.554 0.851
11 Ni 0.477 0.946 0.351
12 H 0.477 0.640 0.367
13 H 0.835 0.965 0.396
14 Sc 0.484 0.340 0.628
15 H 0.335 0.535 0.896
16 H 0.977 0.860 0.867

space group	Pna2_1 (33)
DFT total energy	-20.5	eV per formula unit
excess energy over the best structure of this formula in the dataset	0	meV/atom
V	37.89	Å³/f.u.